Entry 1:
Mg2CrCl: optimized geometry, GGA-PBE.

Cell and atoms, written as POSCAR:
```
Mg2CrCl
1.0
-4.147 1.311 -2.555
0.359 -2.594 -1.915
-2.848 -2.743 3.214
Cl Mg Cr
1 2 1
direct
0.000 0.623 0.512
0.000 0.126 0.900
0.500 0.125 0.287
0.500 0.626 0.801
```

Summary:
spin magnetization	3.7	μB per cell
D(E_F)	1.84	states/eV/f.u.
E_tot	-14.582	eV/f.u.
crystal system	monoclinic
SG	Pm
formation energy (no corrections)	0.0193	eV per atom

---

Entry 2:
MgCrCl2: optimized geometry, GGA-PBE.

Cell and atoms, written as POSCAR:
```
MgCrCl2
1.0
-0.934 -4.782 2.470
5.424 0.078 0.643
1.004 0.010 3.521
Cr Cl Mg
1 2 1
direct
0.500 0.000 0.500
0.500 0.500 0.000
0.000 0.000 0.000
0.000 0.500 0.500
```

Summary:
spin magnetization	4.3	μB per cell
D(E_F)	1.87	states/eV/f.u.
E_tot	-16.369	eV/f.u.
crystal system	monoclinic
SG	C2/m
formation energy (no corrections)	-0.3644	eV per atom

---

Entry 3:
MgCr2Cl: optimized geometry, GGA-PBE.

Cell and atoms, written as POSCAR:
```
MgCr2Cl
1.0
-2.688 3.786 -1.613
-4.487 0.791 1.845
-0.807 3.865 2.927
Cr Mg Cl
2 1 1
direct
0.000 0.000 0.000
0.250 0.250 0.250
0.750 0.750 0.750
0.500 0.500 0.500
```

Summary:
spin magnetization	9.2	μB per cell
D(E_F)	1.34	states/eV/f.u.
E_tot	-19.580	eV/f.u.
crystal system	cubic
SG	F-43m
formation energy (no corrections)	0.7770	eV per atom

---

Entry 4:
MgCrCl: optimized geometry, GGA-PBE.

Cell and atoms, written as POSCAR:
```
MgCrCl
1.0
-1.707 2.607 3.581
-4.254 -1.005 1.850
-0.314 -1.864 4.354
Cr Mg Cl
1 1 1
direct
0.750 0.750 0.750
0.000 0.000 0.000
0.500 0.500 0.500
```

Summary:
spin magnetization	4.9	μB per cell
D(E_F)	0.45	states/eV/f.u.
E_tot	-12.039	eV/f.u.
crystal system	cubic
SG	F-43m
formation energy (no corrections)	0.3417	eV per atom

---

The highest E_tot belongs to which entry? MgCrCl